The following is a DFT calculation (PBE) of a relaxed structure of MgTc2Br.

Cell lengths 2.874, 2.874, 9.236 Å; angles 90.00, 90.00, 116.99 degrees
Atoms (fractional coordinates):
Mg 0.000 0.000 0.000
Tc 0.500 0.500 0.252
Tc 0.500 0.500 0.748
Br 0.000 0.000 0.500

ΔE_f (raw) (meV/atom): 834
M_tot (Bohr magnetons per cell): 0.00
Crystal system: orthorhombic
Calculated volume (Å³/cell): 68.0